The following is a PBE-GGA calculation of an optimized crystal structure of LiTlZnBr4, from Alexandria via LeMat-Bulk.

E	-2.796	eV/atom
formation energy without anion corrections	-1046	meV/atom
symmetry	P2_1/m (11)

```
LiTlZnBr4
1.0
-1.815 -2.589 5.689
-0.048 -7.443 -3.402
8.918 -0.207 0.327
Br Zn Li Tl
8 2 2 2
direct
0.955 0.522 0.270
0.499 0.750 0.534
0.955 0.978 0.270
0.376 0.750 0.090
0.624 0.250 0.910
0.045 0.022 0.730
0.045 0.478 0.730
0.501 0.250 0.466
0.207 0.750 0.311
0.793 0.250 0.689
0.298 0.250 0.676
0.702 0.750 0.324
0.810 0.750 0.919
0.190 0.250 0.081
```